GaSiF4 after structural relaxation, computed with PBE.

It has space group C2/c (No. 15), with a = 9.0106 Å, b = 3.7179 Å, c = 15.8200 Å, α = 90.00°, β = 93.39° and γ = 90.00°. Symmetry generates all atoms from Ga at (0.2500, 0.2500, 0.0000), Si at (0.0000, 0.1297, 0.2500), F at (0.0470, 0.3611, 0.1717) and F at (0.1387, 0.1056, 0.7824).

Its total DFT energy (no corrections) is -4.9524 eV/atom. As for the crystal system: monoclinic.

Y2Al5Ir3 after structural relaxation, computed with PBE.

It has space group Cmc2_1 (No. 36), with a = 4.2756 Å, b = 24.8219 Å, c = 6.7997 Å, α = 90.00°, β = 90.00° and γ = 90.00°. Symmetry generates all atoms from Y at (0.0000, 0.0224, 0.0000), Y at (0.0000, 0.3242, 0.0679), Al at (0.0000, 0.0988, 0.3742), Al at (0.0000, 0.2065, 0.8859), Al at (0.0000, 0.2130, 0.2810), Al at (0.0000, 0.3727, 0.5270), Al at (0.0000, 0.4452, 0.1693), Ir at (0.0000, 0.1097, 0.7508), Ir at (0.0000, 0.2720, 0.5865) and Ir at (0.0000, 0.4516, 0.7858).

Its total DFT energy (no corrections) is -6.6555 eV/atom. Its energy of formation from the pure elements is -0.83 eV per atom. As for the crystal system: orthorhombic.